1.
Material: Nd3Tc2N6
Method: DFT, PBE-GGA
State: optimized geometry

a = 10.162 Å, b = 10.162 Å, c = 10.162 Å
α = 157.81°, β = 157.81°, γ = 31.58°
Element x y z (fractional)
Nd 0.000 0.000 0.000
Nd 0.184 0.184 0.000
Nd 0.816 0.816 0.000
Tc 0.408 0.408 0.000
Tc 0.592 0.592 0.000
N 0.087 0.587 0.500
N 0.302 0.302 0.000
N 0.413 0.913 0.500
N 0.587 0.087 0.500
N 0.698 0.698 0.000
N 0.913 0.413 0.500

Calculated total energy, eV for the cell shown: -93.8
Volume, Å³ per cell: 150
M_tot, Bohr magnetons per cell: 0.0
Space group: No. 139

2.
Material: BeZnSO
Method: DFT, PBE-GGA
State: optimized geometry

a = 6.100 Å, b = 6.259 Å, c = 10.954 Å
α = 90.00°, β = 90.00°, γ = 90.00°
Element x y z (fractional)
Be 0.098 0.185 0.067
Be 0.098 0.315 0.567
Be 0.402 0.685 0.067
Be 0.402 0.815 0.567
Be 0.598 0.185 0.433
Be 0.598 0.315 0.933
Be 0.902 0.685 0.433
Be 0.902 0.815 0.933
Zn 0.157 0.567 0.785
Zn 0.157 0.933 0.285
Zn 0.343 0.067 0.785
Zn 0.343 0.433 0.285
Zn 0.657 0.567 0.715
Zn 0.657 0.933 0.215
Zn 0.843 0.067 0.715
Zn 0.843 0.433 0.215
S 0.232 0.579 0.473
S 0.232 0.921 0.973
S 0.268 0.079 0.473
S 0.268 0.421 0.973
S 0.732 0.579 0.027
S 0.732 0.921 0.527
S 0.768 0.079 0.027
S 0.768 0.421 0.527
O 0.114 0.236 0.209
O 0.114 0.264 0.709
O 0.386 0.736 0.209
O 0.386 0.764 0.709
O 0.614 0.236 0.291
O 0.614 0.264 0.791
O 0.886 0.736 0.291
O 0.886 0.764 0.791

Volume, Å³ per cell: 418
Relative energy among the computed polymorphs, meV/atom: 282
Space group: No. 61

3.
Material: PIrOsO
Method: DFT, PBE-GGA
State: optimized geometry

a = 2.879 Å, b = 7.159 Å, c = 5.229 Å
α = 90.00°, β = 90.00°, γ = 90.00°
Element x y z (fractional)
P 0.000 0.225 0.000
P 0.000 0.775 0.500
Ir 0.000 0.080 0.608
Ir 0.000 0.920 0.108
Os 0.500 0.448 0.157
Os 0.500 0.552 0.657
O 0.500 0.298 0.479
O 0.500 0.702 0.979

Volume, Å³ per cell: 108
M_tot, Bohr magnetons per cell: 0.0
Relative energy among the computed polymorphs, meV/atom: 25
Space group: No. 26

4.
Material: UBeBi
Method: DFT, PBE-GGA
State: optimized geometry

a = 4.598 Å, b = 4.598 Å, c = 4.598 Å
α = 60.00°, β = 60.00°, γ = 60.00°
Element x y z (fractional)
U 0.000 0.000 0.000
Be 0.750 0.750 0.750
Bi 0.500 0.500 0.500

Volume, Å³ per cell: 69
M_tot, Bohr magnetons per cell: 3.2
Relative energy among the computed polymorphs, meV/atom: 0
Space group: No. 216

5.
Material: NaTcO3
Method: DFT, PBE-GGA
State: optimized geometry

a = 7.682 Å, b = 5.403 Å, c = 5.354 Å
α = 90.00°, β = 90.00°, γ = 90.00°
Element x y z (fractional)
Na 0.000 0.246 0.000
Na 0.000 0.754 0.500
Na 0.500 0.252 0.979
Na 0.500 0.748 0.479
Tc 0.250 0.250 0.490
Tc 0.250 0.750 0.990
Tc 0.750 0.250 0.490
Tc 0.750 0.750 0.990
O 0.000 0.210 0.484
O 0.000 0.790 0.984
O 0.230 0.464 0.776
O 0.230 0.536 0.276
O 0.270 0.036 0.204
O 0.270 0.964 0.704
O 0.500 0.291 0.496
O 0.500 0.709 0.996
O 0.730 0.036 0.204
O 0.730 0.964 0.704
O 0.770 0.464 0.776
O 0.770 0.536 0.276

Calculated total energy, eV for the cell shown: -137.4
Volume, Å³ per cell: 222
M_tot, Bohr magnetons per cell: 0.0
Space group: No. 26

6.
Material: KNdMo
Method: DFT, PBE-GGA
State: optimized geometry

a = 5.306 Å, b = 5.306 Å, c = 5.306 Å
α = 60.00°, β = 60.00°, γ = 60.00°
Element x y z (fractional)
K 0.000 0.000 0.000
Nd 0.500 0.500 0.500
Mo 0.250 0.250 0.250

Volume, Å³ per cell: 106
M_tot, Bohr magnetons per cell: 2.7
Relative energy among the computed polymorphs, meV/atom: 0
Space group: No. 216

7.
Material: NpFeRe
Method: DFT, PBE-GGA
State: optimized geometry

a = 4.207 Å, b = 4.207 Å, c = 4.207 Å
α = 60.00°, β = 60.00°, γ = 60.00°
Element x y z (fractional)
Np 0.000 0.000 0.000
Fe 0.750 0.750 0.750
Re 0.500 0.500 0.500

Volume, Å³ per cell: 53
M_tot, Bohr magnetons per cell: 0.0
Formation enthalpy at 0 K, eV/atom: 0.6207
Relative energy among the computed polymorphs, meV/atom: 0
Space group: No. 216

8.
Material: NaHoCoSe3
Method: DFT, PBE-GGA
State: optimized geometry

a = 8.330 Å, b = 3.943 Å, c = 9.258 Å
α = 90.00°, β = 104.07°, γ = 90.00°
Element x y z (fractional)
Na 0.201 0.250 0.234
Na 0.799 0.750 0.766
Ho 0.323 0.750 0.855
Ho 0.677 0.250 0.145
Co 0.075 0.250 0.588
Co 0.925 0.750 0.412
Se 0.080 0.250 0.849
Se 0.206 0.750 0.528
Se 0.438 0.750 0.168
Se 0.562 0.250 0.832
Se 0.794 0.250 0.472
Se 0.920 0.750 0.151

Volume, Å³ per cell: 295
M_tot, Bohr magnetons per cell: 1.8
Relative energy among the computed polymorphs, meV/atom: 0
Space group: No. 11

9.
Material: Li8Cd4O11
Method: DFT, PBE-GGA
State: optimized geometry

a = 5.175 Å, b = 5.292 Å, c = 9.219 Å
α = 84.24°, β = 74.17°, γ = 79.77°
Element x y z (fractional)
Li 0.000 0.000 0.000
Li 0.021 0.236 0.424
Li 0.160 0.484 0.833
Li 0.325 0.992 0.671
Li 0.478 0.490 0.528
Li 0.580 0.739 0.913
Li 0.678 0.947 0.340
Li 0.874 0.513 0.144
Cd 0.253 0.742 0.250
Cd 0.419 0.242 0.083
Cd 0.744 0.235 0.752
Cd 0.906 0.741 0.584
O 0.030 0.152 0.214
O 0.119 0.346 0.616
O 0.221 0.633 0.041
O 0.309 0.841 0.454
O 0.370 0.108 0.866
O 0.520 0.609 0.716
O 0.635 0.874 0.141
O 0.671 0.115 0.528
O 0.796 0.374 0.971
O 0.886 0.596 0.368
O 0.962 0.862 0.798

Calculated total energy, eV for the cell shown: -98.8
Volume, Å³ per cell: 239
Space group: No. 1

10.
Material: HfBeSiOs
Method: DFT, PBE-GGA
State: optimized geometry

a = 4.335 Å, b = 4.335 Å, c = 4.335 Å
α = 60.00°, β = 60.00°, γ = 60.00°
Element x y z (fractional)
Hf 0.000 0.000 0.000
Be 0.500 0.500 0.500
Si 0.750 0.750 0.750
Os 0.250 0.250 0.250

Volume, Å³ per cell: 58
M_tot, Bohr magnetons per cell: 0.0
Relative energy among the computed polymorphs, meV/atom: 220
Space group: No. 216

11.
Material: ScAlCdCu
Method: DFT, PBE-GGA
State: optimized geometry

a = 4.624 Å, b = 4.624 Å, c = 4.624 Å
α = 60.00°, β = 60.00°, γ = 60.00°
Element x y z (fractional)
Sc 0.000 0.000 0.000
Al 0.250 0.250 0.250
Cd 0.750 0.750 0.750
Cu 0.500 0.500 0.500

Volume, Å³ per cell: 70
M_tot, Bohr magnetons per cell: 0.0
Relative energy among the computed polymorphs, meV/atom: 74
Space group: No. 216

12.
Material: Gd2LuIn3CuNi2
Method: DFT, PBE-GGA
State: optimized geometry

a = 3.840 Å, b = 7.445 Å, c = 7.445 Å
α = 119.98°, β = 90.00°, γ = 90.00°
Element x y z (fractional)
Gd 0.000 0.206 0.794
Gd 0.000 0.794 0.206
Lu 0.000 0.381 0.381
In 0.500 0.053 0.053
In 0.500 0.535 0.790
In 0.500 0.790 0.535
Cu 0.000 0.791 0.791
Ni 0.500 0.129 0.458
Ni 0.500 0.458 0.129

Calculated total energy, eV for the cell shown: -41.2
Volume, Å³ per cell: 184
M_tot, Bohr magnetons per cell: 0.0
Space group: No. 38